# 1
# GdAsN2O | OQMD via LeMat-Bulk | GGA-PBE | relaxed
# Space group: Pnma
# Total DFT energy (no corrections): -7.0046 eV/atom
data_GdAsN2O
_cell_length_a 5.377
_cell_length_b 7.900
_cell_length_c 5.295
_cell_angle_alpha 90.00
_cell_angle_beta 90.00
_cell_angle_gamma 90.00
_symmetry_space_group_name_H-M 'P 1'
_symmetry_Int_Tables_number 1
loop_
_symmetry_equiv_pos_as_xyz
'x,y,z'
loop_
_atom_site_label
_atom_site_type_symbol
_atom_site_fract_x
_atom_site_fract_y
_atom_site_fract_z
Gd1 Gd 0.944 0.250 0.016
Gd2 Gd 0.056 0.750 0.984
N1 N 0.797 0.543 0.796
N2 N 0.703 0.043 0.296
O1 O 0.511 0.250 0.915
N3 N 0.203 0.457 0.204
As1 As 0.500 0.000 0.000
N4 N 0.203 0.043 0.204
As2 As 0.000 0.000 0.500
As3 As 0.500 0.500 0.000
O2 O 0.011 0.250 0.585
N5 N 0.703 0.457 0.296
N6 N 0.797 0.957 0.796
As4 As 0.000 0.500 0.500
N7 N 0.297 0.543 0.704
Gd3 Gd 0.556 0.750 0.516
Gd4 Gd 0.444 0.250 0.484
O3 O 0.989 0.750 0.415
N8 N 0.297 0.957 0.704
O4 O 0.489 0.750 0.085

***

# 2
# GdAsN2O | OQMD via LeMat-Bulk | GGA-PBE | relaxed
# Space group: P1
# Total DFT energy (no corrections): -7.0325 eV/atom
data_GdAsN2O
_cell_length_a 5.255
_cell_length_b 5.428
_cell_length_c 5.658
_cell_angle_alpha 94.77
_cell_angle_beta 111.17
_cell_angle_gamma 118.03
_symmetry_space_group_name_H-M 'P 1'
_symmetry_Int_Tables_number 1
loop_
_symmetry_equiv_pos_as_xyz
'x,y,z'
loop_
_atom_site_label
_atom_site_type_symbol
_atom_site_fract_x
_atom_site_fract_y
_atom_site_fract_z
Gd1 Gd 0.731 0.358 0.101
N1 N 0.240 0.480 0.344
N2 N 0.451 0.018 0.289
O1 O 0.644 0.007 0.793
N3 N 0.752 0.561 0.714
Gd2 Gd 0.265 0.627 0.845
As1 As 0.684 0.841 0.520
As2 As 0.356 0.226 0.479
O2 O 0.725 0.750 0.217
N4 N 0.152 0.131 0.698

***

# 3
# GdAsN2O | OQMD via LeMat-Bulk | GGA-PBE | relaxed
# Space group: Ima2
# Total DFT energy (no corrections): -6.9464 eV/atom
data_GdAsN2O
_cell_length_a 5.443
_cell_length_b 5.443
_cell_length_c 5.443
_cell_angle_alpha 88.09
_cell_angle_beta 120.54
_cell_angle_gamma 121.68
_symmetry_space_group_name_H-M 'P 1'
_symmetry_Int_Tables_number 1
loop_
_symmetry_equiv_pos_as_xyz
'x,y,z'
loop_
_atom_site_label
_atom_site_type_symbol
_atom_site_fract_x
_atom_site_fract_y
_atom_site_fract_z
N1 N 0.786 0.485 0.201
As1 As 0.784 0.284 0.500
N2 N 0.786 0.085 0.802
Gd1 Gd 0.300 0.036 0.765
N3 N 0.283 0.985 0.198
O1 O 0.694 0.530 0.664
Gd2 Gd 0.271 0.536 0.235
As2 As 0.784 0.784 0.000
N4 N 0.283 0.585 0.799
O2 O 0.866 0.030 0.336

***

# 4
# GdAsN2O | OQMD via LeMat-Bulk | GGA-PBE | relaxed
# Space group: Pmc2_1
# Total DFT energy (no corrections): -7.0845 eV/atom
data_GdAsN2O
_cell_length_a 7.295
_cell_length_b 5.789
_cell_length_c 5.627
_cell_angle_alpha 90.00
_cell_angle_beta 90.00
_cell_angle_gamma 90.00
_symmetry_space_group_name_H-M 'P 1'
_symmetry_Int_Tables_number 1
loop_
_symmetry_equiv_pos_as_xyz
'x,y,z'
loop_
_atom_site_label
_atom_site_type_symbol
_atom_site_fract_x
_atom_site_fract_y
_atom_site_fract_z
As1 As 0.252 0.334 0.970
N1 N 0.000 0.636 0.559
Gd1 Gd 0.000 0.194 0.432
As2 As 0.252 0.666 0.470
O1 O 0.796 0.101 0.742
Gd2 Gd 0.500 0.182 0.526
N2 N 0.709 0.400 0.304
N3 N 0.291 0.600 0.804
N4 N 0.000 0.364 0.059
O2 O 0.796 0.899 0.242
O3 O 0.204 0.899 0.242
O4 O 0.204 0.101 0.742
As3 As 0.748 0.666 0.470
Gd3 Gd 0.500 0.818 0.026
N5 N 0.500 0.201 0.950
N6 N 0.291 0.400 0.304
Gd4 Gd 0.000 0.806 0.932
N7 N 0.709 0.600 0.804
As4 As 0.748 0.334 0.970
N8 N 0.500 0.799 0.450

***

# 5
# Gd3As3W2N12 | OQMD via LeMat-Bulk | GGA-PBE | relaxed
# Space group: Ia-3d
# Total DFT energy (no corrections): -8.1608 eV/atom
data_Gd3As3W2N12
_cell_length_a 10.809
_cell_length_b 10.809
_cell_length_c 10.809
_cell_angle_alpha 109.47
_cell_angle_beta 109.47
_cell_angle_gamma 109.47
_symmetry_space_group_name_H-M 'P 1'
_symmetry_Int_Tables_number 1
loop_
_symmetry_equiv_pos_as_xyz
'x,y,z'
loop_
_atom_site_label
_atom_site_type_symbol
_atom_site_fract_x
_atom_site_fract_y
_atom_site_fract_z
N1 N 0.588 0.184 0.202
Gd1 Gd 0.125 0.250 0.375
As1 As 0.125 0.750 0.875
N2 N 0.596 0.184 0.482
N3 N 0.404 0.816 0.518
N4 N 0.184 0.482 0.596
As2 As 0.250 0.125 0.875
N5 N 0.385 0.588 0.904
N6 N 0.316 0.912 0.298
N7 N 0.482 0.596 0.184
N8 N 0.702 0.518 0.615
N9 N 0.316 0.904 0.018
Gd2 Gd 0.375 0.125 0.250
N10 N 0.588 0.904 0.385
N11 N 0.184 0.202 0.588
As3 As 0.375 0.250 0.625
N12 N 0.115 0.596 0.912
N13 N 0.798 0.885 0.982
As4 As 0.625 0.375 0.250
W1 W 0.500 0.500 0.000
N14 N 0.684 0.088 0.702
W2 W 0.000 0.500 0.500
W3 W 0.000 0.500 0.000
N15 N 0.702 0.684 0.088
As5 As 0.875 0.125 0.750
N16 N 0.412 0.816 0.798
N17 N 0.412 0.096 0.615
N18 N 0.912 0.115 0.596
N19 N 0.018 0.316 0.904
N20 N 0.816 0.798 0.412
N21 N 0.885 0.404 0.088
Gd3 Gd 0.750 0.125 0.375
Gd4 Gd 0.625 0.250 0.875
Gd5 Gd 0.750 0.625 0.875
Gd6 Gd 0.875 0.750 0.625
Gd7 Gd 0.625 0.875 0.750
As6 As 0.875 0.250 0.125
N22 N 0.615 0.702 0.518
N23 N 0.385 0.298 0.482
Gd8 Gd 0.250 0.875 0.625
N24 N 0.202 0.115 0.018
As7 As 0.750 0.875 0.125
W4 W 0.500 0.000 0.500
As8 As 0.125 0.875 0.250
Gd9 Gd 0.250 0.375 0.125
As9 As 0.625 0.750 0.375
Gd10 Gd 0.125 0.375 0.750
N25 N 0.018 0.202 0.115
W5 W 0.000 0.000 0.500
N26 N 0.404 0.088 0.885
N27 N 0.096 0.615 0.412
N28 N 0.596 0.912 0.115
N29 N 0.904 0.385 0.588
N30 N 0.885 0.982 0.798
N31 N 0.798 0.412 0.816
N32 N 0.982 0.684 0.096
W6 W 0.500 0.500 0.500
N33 N 0.615 0.412 0.096
N34 N 0.202 0.588 0.184
N35 N 0.912 0.298 0.316
W7 W 0.500 0.000 0.000
N36 N 0.518 0.404 0.816
Gd11 Gd 0.375 0.750 0.125
N37 N 0.518 0.615 0.702
W8 W 0.000 0.000 0.000
N38 N 0.096 0.982 0.684
N39 N 0.982 0.798 0.885
N40 N 0.816 0.518 0.404
N41 N 0.088 0.885 0.404
N42 N 0.298 0.316 0.912
N43 N 0.088 0.702 0.684
Gd12 Gd 0.875 0.625 0.250
As10 As 0.750 0.375 0.625
N44 N 0.115 0.018 0.202
As11 As 0.250 0.625 0.375
N45 N 0.904 0.018 0.316
N46 N 0.298 0.482 0.385
N47 N 0.684 0.096 0.982
As12 As 0.375 0.625 0.750
N48 N 0.482 0.385 0.298

***

# 6
# NaGdAsSe3 | OQMD via LeMat-Bulk | GGA-PBE | relaxed
# Space group: Cmcm
# Total DFT energy (no corrections): -4.3922 eV/atom
data_NaGdAsSe3
_cell_length_a 7.640
_cell_length_b 7.640
_cell_length_c 10.148
_cell_angle_alpha 90.00
_cell_angle_beta 90.00
_cell_angle_gamma 147.95
_symmetry_space_group_name_H-M 'P 1'
_symmetry_Int_Tables_number 1
loop_
_symmetry_equiv_pos_as_xyz
'x,y,z'
loop_
_atom_site_label
_atom_site_type_symbol
_atom_site_fract_x
_atom_site_fract_y
_atom_site_fract_z
Gd1 Gd 0.500 0.500 0.500
Se1 Se 0.863 0.137 0.448
Se2 Se 0.863 0.137 0.052
Se3 Se 0.137 0.863 0.552
Se4 Se 0.137 0.863 0.948
Na1 Na 0.745 0.255 0.750
As1 As 0.037 0.963 0.750
As2 As 0.963 0.037 0.250
Se5 Se 0.386 0.614 0.750
Se6 Se 0.614 0.386 0.250
Na2 Na 0.255 0.745 0.250
Gd2 Gd 0.500 0.500 0.000

***

# 7
# Gd2NbAs3 | OQMD via LeMat-Bulk | GGA-PBE | relaxed
# Space group: P-3m1
# Total DFT energy (no corrections): -6.6748 eV/atom
data_Gd2NbAs3
_cell_length_a 3.995
_cell_length_b 3.995
_cell_length_c 9.764
_cell_angle_alpha 90.00
_cell_angle_beta 90.00
_cell_angle_gamma 120.00
_symmetry_space_group_name_H-M 'P 1'
_symmetry_Int_Tables_number 1
loop_
_symmetry_equiv_pos_as_xyz
'x,y,z'
loop_
_atom_site_label
_atom_site_type_symbol
_atom_site_fract_x
_atom_site_fract_y
_atom_site_fract_z
As1 As 0.333 0.667 0.356
Gd1 Gd 0.333 0.667 0.821
Gd2 Gd 0.667 0.333 0.179
As2 As 0.667 0.333 0.644
As3 As 0.000 0.000 0.000
Nb1 Nb 0.000 0.000 0.500

***

# 8
# GdNbAsO | OQMD via LeMat-Bulk | GGA-PBE | relaxed
# Space group: Pmc2_1
# E above lowest polymorph: 1.022 eV/f.u.
# Total DFT energy (no corrections): -7.7372 eV/atom
data_GdNbAsO
_cell_length_a 4.191
_cell_length_b 4.911
_cell_length_c 6.826
_cell_angle_alpha 90.00
_cell_angle_beta 90.00
_cell_angle_gamma 90.00
_symmetry_space_group_name_H-M 'P 1'
_symmetry_Int_Tables_number 1
loop_
_symmetry_equiv_pos_as_xyz
'x,y,z'
loop_
_atom_site_label
_atom_site_type_symbol
_atom_site_fract_x
_atom_site_fract_y
_atom_site_fract_z
Gd1 Gd 0.500 0.321 0.592
As1 As 0.000 0.357 0.289
Nb1 Nb 0.000 0.863 0.439
Gd2 Gd 0.500 0.679 0.092
O1 O 0.500 0.867 0.434
As2 As 0.000 0.643 0.789
O2 O 0.500 0.133 0.934
Nb2 Nb 0.000 0.137 0.939

***

# 9
# GdNbAsO | OQMD via LeMat-Bulk | GGA-PBE | relaxed
# Space group: Pmc2_1
# E above lowest polymorph: 1.620 eV/f.u.
# Total DFT energy (no corrections): -7.5879 eV/atom
data_GdNbAsO
_cell_length_a 3.774
_cell_length_b 6.576
_cell_length_c 6.201
_cell_angle_alpha 90.00
_cell_angle_beta 90.00
_cell_angle_gamma 90.00
_symmetry_space_group_name_H-M 'P 1'
_symmetry_Int_Tables_number 1
loop_
_symmetry_equiv_pos_as_xyz
'x,y,z'
loop_
_atom_site_label
_atom_site_type_symbol
_atom_site_fract_x
_atom_site_fract_y
_atom_site_fract_z
Gd1 Gd 0.000 0.632 0.395
As1 As 0.000 0.190 0.343
Nb1 Nb 0.500 0.061 0.605
Nb2 Nb 0.500 0.939 0.105
O1 O 0.500 0.796 0.411
As2 As 0.000 0.810 0.843
Gd2 Gd 0.000 0.368 0.895
O2 O 0.500 0.204 0.911

***

# 10
# GdNbAsO | OQMD via LeMat-Bulk | GGA-PBE | relaxed
# Space group: P4/nmm
# E above lowest polymorph: 0.001 eV/f.u.
# Total DFT energy (no corrections): -7.9926 eV/atom
data_GdNbAsO
_cell_length_a 3.978
_cell_length_b 3.978
_cell_length_c 9.096
_cell_angle_alpha 90.00
_cell_angle_beta 90.00
_cell_angle_gamma 90.00
_symmetry_space_group_name_H-M 'P 1'
_symmetry_Int_Tables_number 1
loop_
_symmetry_equiv_pos_as_xyz
'x,y,z'
loop_
_atom_site_label
_atom_site_type_symbol
_atom_site_fract_x
_atom_site_fract_y
_atom_site_fract_z
O1 O 0.000 0.000 0.000
As1 As 0.000 0.500 0.697
Gd1 Gd 0.500 0.000 0.877
As2 As 0.500 0.000 0.303
Gd2 Gd 0.000 0.500 0.123
Nb1 Nb 0.000 0.000 0.500
Nb2 Nb 0.500 0.500 0.500
O2 O 0.500 0.500 0.000